RbSr2BiOs GGA-PBEsol relaxed; space group = P4/mmm, No. 123; VASP energy = -2.2340 eV/atom; D(E_F) = 6.74 states/eV per cell; formation energy = 2007 meV/atom
1.0
-0.0927 2.3545 5.2164
-1.3800 -5.2593 2.3493
5.7594 -1.2196 0.6528
Bi Sr Rb Os
1 2 1 1
direct
0.5000 0.0000 0.0000
0.0000 0.5000 0.0000
0.0000 0.0000 0.5000
0.0000 0.0000 0.0000
0.5000 0.5000 0.5000